(1)
SrNdNi2P2 | PBE | relaxed

abc: 3.9638 3.9638 8.4077
angles: 90.00 90.00 120.00
Last column: nearest neighbours and their distance in Å.
Positions (direct):
1 Nd 0.0000 0.0000 0.0000  6 P 3.04, 6 Ni 3.04
2 Ni 0.3333 0.6667 0.2381  3 P 2.29
3 Ni 0.6667 0.3333 0.7619  3 P 2.29
4 P 0.6667 0.3333 0.2379  3 Ni 2.29
5 P 0.3333 0.6667 0.7621  3 Ni 2.29
6 Sr 0.0000 0.0000 0.5000  6 Ni 3.18, 6 P 3.18

Values from the calculation:
Energy   -34.5 eV/cell
ρ   5.969 g/cm3



(2)
Rb2NbMoN4 | PBE | relaxed

abc: 6.0764 6.0764 6.0764
angles: 120.81 120.81 88.61
Last column: nearest neighbours and their distance in Å.
Positions (direct):
1 Mo 0.5000 0.5000 0.0000  4 N 1.89
2 N 0.6210 0.2912 0.1584  1 Mo 1.89, 1 Nb 1.96
3 N 0.7088 0.8672 0.3297  1 Mo 1.89, 1 Nb 1.96
4 N 0.5375 0.3790 0.6703  1 Mo 1.89, 1 Nb 1.96
5 N 0.1328 0.4625 0.8416  1 Mo 1.89, 1 Nb 1.96
6 Nb 0.7500 0.2500 0.5000  4 N 1.96
7 Rb 0.0000 0.0000 0.0000  4 N 3.11
8 Rb 0.2500 0.7500 0.5000  4 N 3.09

Values from the calculation:
Energy   -60.5 eV/cell
ρ   4.407 g/cm3



(3)
HfMgNiHg | PBE | relaxed

abc: 4.6302 4.6302 4.6302
angles: 60.00 60.00 60.00
Last column: nearest neighbours and their distance in Å.
Positions (direct):
1 Hf 0.0000 0.0000 0.0000  4 Mg 2.84, 4 Hg 2.84
2 Hg 0.2500 0.2500 0.2500  4 Ni 2.84, 4 Hf 2.84
3 Mg 0.7500 0.7500 0.7500  4 Ni 2.84, 4 Hf 2.84
4 Ni 0.5000 0.5000 0.5000  4 Hg 2.84, 4 Mg 2.84

Values from the calculation:
Energy   -17.0 eV/cell
ρ   10.932 g/cm3